[1]
VASP calculation (GGA-PBE) on crystalline Sm2Cu5Rh5 at its relaxed geometry.

## Properties
**Uncorrected energy**: -5.87 eV/atom
**Magnetic moment**: 0.00 μB per atom
**Formation enthalpy at 0 K**: -0.315 eV per atom
**N(E_F)**: 0.85 states/eV/atom

```
data_Sm2Cu5Rh5
_cell_length_a 4.098
_cell_length_b 5.334
_cell_length_c 8.960
_cell_angle_alpha 90.00
_cell_angle_beta 90.00
_cell_angle_gamma 90.00
_space_group_name_H-M_alt 'P m m m'
_space_group_IT_number 47
_space_group_name_Hall '-P 2 2'
loop_
_atom_site_label
_atom_site_type_symbol
_atom_site_fract_x
_atom_site_fract_y
_atom_site_fract_z
_atom_site_occupancy
Sm1 Sm 0.000 0.000 0.000 1
Sm2 Sm 0.000 0.500 0.500 1
Cu1 Cu 0.000 0.000 0.333 1
Cu2 Cu 0.000 0.500 0.163 1
Cu3 Cu 0.500 0.500 0.000 1
Rh1 Rh 0.500 0.000 0.500 1
Rh2 Rh 0.500 0.252 0.246 1
```

[2]
VASP calculation (GGA-PBE) on crystalline CaTiRuO6 at its relaxed geometry.

## Properties
**Uncorrected energy**: -7.48 eV/atom
**Magnetic moment**: 0.22 μB per atom
**N(E_F)**: 0.54 states/eV/atom
**Uncorrected formation energy**: -2.043 eV per atom

```
data_CaTiRuO6
_cell_length_a 5.1519
_cell_length_b 5.1519
_cell_length_c 10.1270
_cell_angle_alpha 90.00
_cell_angle_beta 90.00
_cell_angle_gamma 120.00
_space_group_name_H-M_alt 'P -3 1 c'
_space_group_IT_number 163
_space_group_name_Hall '-P 3 2c'
loop_
_atom_site_label
_atom_site_type_symbol
_atom_site_fract_x
_atom_site_fract_y
_atom_site_fract_z
_atom_site_occupancy
Ca1 Ca 0.0000 0.0000 0.0000 1
Ti1 Ti 0.3333 0.6667 0.2500 1
Ru1 Ru 0.3333 0.6667 0.7500 1
O1 O 0.0045 0.3702 0.6442 1
```

[3]
VASP calculation (GGA-PBE) on crystalline SrAsAu2 at its relaxed geometry.

## Properties
**Uncorrected energy**: -3.50 eV/atom
**Magnetic moment**: 0.00 μB per atom
**Formation enthalpy at 0 K**: -0.278 eV per atom
**N(E_F)**: 0.45 states/eV/atom

```
data_SrAsAu2
_cell_length_a 5.954
_cell_length_b 6.507
_cell_length_c 10.035
_cell_angle_alpha 90.00
_cell_angle_beta 90.00
_cell_angle_gamma 90.00
_space_group_name_H-M_alt 'F m m m'
_space_group_IT_number 69
_space_group_name_Hall '-F 2 2'
loop_
_atom_site_label
_atom_site_type_symbol
_atom_site_fract_x
_atom_site_fract_y
_atom_site_fract_z
_atom_site_occupancy
Sr1 Sr 0.000 0.000 0.000 1
As1 As 0.000 0.000 0.500 1
Au1 Au 0.000 0.250 0.250 1
```

[4]
VASP calculation (GGA-PBE) on crystalline PmHoCdCo at its relaxed geometry.

## Properties
**Uncorrected energy**: -4.44 eV/atom
**Magnetic moment**: 0.12 μB per atom
**Formation enthalpy at 0 K**: -0.104 eV per atom
**Energy relative to the lowest polymorph listed for this composition**: 0.1082 eV per atom
**N(E_F)**: 0.65 states/eV/atom

```
data_PmHoCdCo
_cell_length_a 7.201
_cell_length_b 7.201
_cell_length_c 7.201
_cell_angle_alpha 90.00
_cell_angle_beta 90.00
_cell_angle_gamma 90.00
_space_group_name_H-M_alt 'F -4 3 m'
_space_group_IT_number 216
_space_group_name_Hall 'F -4 2 3'
loop_
_atom_site_label
_atom_site_type_symbol
_atom_site_fract_x
_atom_site_fract_y
_atom_site_fract_z
_atom_site_occupancy
Pm1 Pm 0.000 0.000 0.000 1
Ho1 Ho 0.000 0.000 0.500 1
Cd1 Cd 0.250 0.250 0.750 1
Co1 Co 0.250 0.250 0.250 1
```

[5]
VASP calculation (GGA-PBE) on crystalline CrHgPCl2 at its relaxed geometry.

## Properties
**Uncorrected energy**: -3.16 eV/atom
**Magnetic moment**: 0.64 μB per atom
**Energy relative to the lowest polymorph listed for this composition**: 0.7650 eV per atom
**N(E_F)**: 0.37 states/eV/atom
**Uncorrected formation energy**: 0.641 eV per atom

```
data_CrHgPCl2
_cell_length_a 5.349
_cell_length_b 5.349
_cell_length_c 4.997
_cell_angle_alpha 90.00
_cell_angle_beta 90.00
_cell_angle_gamma 90.00
_space_group_name_H-M_alt 'P 4/m m m'
_space_group_IT_number 123
_space_group_name_Hall '-P 4 2'
loop_
_atom_site_label
_atom_site_type_symbol
_atom_site_fract_x
_atom_site_fract_y
_atom_site_fract_z
_atom_site_occupancy
Cr1 Cr 0.000 0.000 0.000 1
Hg1 Hg 0.500 0.500 0.500 1
P1 P 0.500 0.500 0.000 1
Cl1 Cl 0.000 0.500 0.500 1
```

[6]
VASP calculation (GGA-PBE) on crystalline PaPd6Pt2 at its relaxed geometry.

## Properties
**Uncorrected energy**: -6.37 eV/atom
**Magnetic moment**: 0.00 μB per atom
**Formation enthalpy at 0 K**: -0.512 eV per atom
**Energy relative to the lowest polymorph listed for this composition**: 0.0000 eV per atom
**N(E_F)**: 0.42 states/eV/atom

```
data_PaPd6Pt2
_cell_length_a 4.963
_cell_length_b 4.989
_cell_length_c 6.369
_cell_angle_alpha 74.45
_cell_angle_beta 82.78
_cell_angle_gamma 79.89
_space_group_name_H-M_alt 'P -1'
_space_group_IT_number 2
_space_group_name_Hall '-P 1'
loop_
_atom_site_label
_atom_site_type_symbol
_atom_site_fract_x
_atom_site_fract_y
_atom_site_fract_z
_atom_site_occupancy
Pa1 Pa 0.000 0.000 0.000 1
Pd1 Pd 0.221 0.110 0.556 1
Pd2 Pd 0.334 0.673 0.332 1
Pd3 Pd 0.444 0.229 0.111 1
Pt1 Pt 0.112 0.554 0.773 1
```

[7]
VASP calculation (GGA-PBE) on crystalline LiTbErRe at its relaxed geometry.

## Properties
**Uncorrected energy**: -5.83 eV/atom
**Magnetic moment**: 0.00 μB per atom
**Formation enthalpy at 0 K**: 0.059 eV per atom
**N(E_F)**: 0.83 states/eV/atom

```
data_LiTbErRe
_cell_length_a 6.945
_cell_length_b 6.945
_cell_length_c 6.945
_cell_angle_alpha 90.00
_cell_angle_beta 90.00
_cell_angle_gamma 90.00
_space_group_name_H-M_alt 'F -4 3 m'
_space_group_IT_number 216
_space_group_name_Hall 'F -4 2 3'
loop_
_atom_site_label
_atom_site_type_symbol
_atom_site_fract_x
_atom_site_fract_y
_atom_site_fract_z
_atom_site_occupancy
Li1 Li 0.000 0.000 0.000 1
Tb1 Tb 0.250 0.250 0.250 1
Er1 Er 0.250 0.250 0.750 1
Re1 Re 0.000 0.000 0.500 1
```

[8]
VASP calculation (GGA-PBE) on crystalline BaMg at its relaxed geometry.

## Properties
**Uncorrected energy**: -1.66 eV/atom
**Magnetic moment**: 0.00 μB per atom
**Formation enthalpy at 0 K**: 0.102 eV per atom
**N(E_F)**: 1.44 states/eV/atom

```
data_BaMg
_cell_length_a 9.304
_cell_length_b 11.179
_cell_length_c 14.202
_cell_angle_alpha 90.00
_cell_angle_beta 90.00
_cell_angle_gamma 90.00
_space_group_name_H-M_alt 'F d d d'
_space_group_IT_number 70
loop_
_space_group_symop_operation_xyz
'x,y,z'
'-x,-y,-z'
'-x+1/4,-y+1/4,z'
'x+1/4,y+1/4,-z'
'x,-y+1/4,-z+1/4'
'-x,y+1/4,z+1/4'
'-x+1/4,y,-z+1/4'
'x+1/4,-y,z+1/4'
'x,y+1/2,z+1/2'
'-x,-y+1/2,-z+1/2'
'-x+1/4,-y+3/4,z+1/2'
'x+1/4,y+3/4,-z+1/2'
'x,-y+3/4,-z+3/4'
'-x,y+3/4,z+3/4'
'-x+1/4,y+1/2,-z+3/4'
'x+1/4,-y+1/2,z+3/4'
'x+1/2,y,z+1/2'
'-x+1/2,-y,-z+1/2'
'-x+3/4,-y+1/4,z+1/2'
'x+3/4,y+1/4,-z+1/2'
'x+1/2,-y+1/4,-z+3/4'
'-x+1/2,y+1/4,z+3/4'
'-x+3/4,y,-z+3/4'
'x+3/4,-y,z+3/4'
'x+1/2,y+1/2,z'
'-x+1/2,-y+1/2,-z'
'-x+3/4,-y+3/4,z'
'x+3/4,y+3/4,-z'
'x+1/2,-y+3/4,-z+1/4'
'-x+1/2,y+3/4,z+1/4'
'-x+3/4,y+1/2,-z+1/4'
'x+3/4,-y+1/2,z+1/4'
loop_
_atom_site_label
_atom_site_type_symbol
_atom_site_fract_x
_atom_site_fract_y
_atom_site_fract_z
_atom_site_occupancy
Ba1 Ba 0.125 0.321 0.125 1
Mg1 Mg 0.039 0.375 0.875 1
```

[9]
VASP calculation (GGA-PBE) on crystalline YSc2Mn at its relaxed geometry.

## Properties
**Uncorrected energy**: -6.86 eV/atom
**Magnetic moment**: 0.56 μB per atom
**Formation enthalpy at 0 K**: 0.217 eV per atom
**Energy relative to the lowest polymorph listed for this composition**: 0.1305 eV per atom
**N(E_F)**: 1.50 states/eV/atom

```
data_YSc2Mn
_cell_length_a 4.431
_cell_length_b 4.431
_cell_length_c 9.491
_cell_angle_alpha 90.00
_cell_angle_beta 90.00
_cell_angle_gamma 90.00
_space_group_name_H-M_alt 'I 4/m m m'
_space_group_IT_number 139
_space_group_name_Hall '-I 4 2'
loop_
_atom_site_label
_atom_site_type_symbol
_atom_site_fract_x
_atom_site_fract_y
_atom_site_fract_z
_atom_site_occupancy
Y1 Y 0.000 0.000 0.000 1
Sc1 Sc 0.000 0.500 0.250 1
Mn1 Mn 0.000 0.000 0.500 1
```

[10]
VASP calculation (GGA-PBE) on crystalline Ca2CdPt at its relaxed geometry.

## Properties
**Uncorrected energy**: -3.35 eV/atom
**Magnetic moment**: 0.00 μB per atom
**Formation enthalpy at 0 K**: -0.608 eV per atom
**N(E_F)**: 0.52 states/eV/atom

```
data_Ca2CdPt
_cell_length_a 4.459
_cell_length_b 4.250
_cell_length_c 11.164
_cell_angle_alpha 90.00
_cell_angle_beta 90.00
_cell_angle_gamma 90.00
_space_group_name_H-M_alt 'A m m 2'
_space_group_IT_number 38
_space_group_name_Hall 'A 2 -2'
loop_
_atom_site_label
_atom_site_type_symbol
_atom_site_fract_x
_atom_site_fract_y
_atom_site_fract_z
_atom_site_occupancy
Ca1 Ca 0.000 0.000 0.000 1
Ca2 Ca 0.500 0.000 0.287 1
Cd1 Cd 0.500 0.000 0.576 1
Pt1 Pt 0.000 0.000 0.725 1
```

[11]
VASP calculation (GGA-PBE) on crystalline TaTiRePd at its relaxed geometry.

## Properties
**Uncorrected energy**: -9.70 eV/atom
**Magnetic moment**: 0.00 μB per atom
**Formation enthalpy at 0 K**: -0.353 eV per atom
**N(E_F)**: 0.78 states/eV/atom

```
data_TaTiRePd
_cell_length_a 6.360
_cell_length_b 6.360
_cell_length_c 6.360
_cell_angle_alpha 90.00
_cell_angle_beta 90.00
_cell_angle_gamma 90.00
_space_group_name_H-M_alt 'F -4 3 m'
_space_group_IT_number 216
_space_group_name_Hall 'F -4 2 3'
loop_
_atom_site_label
_atom_site_type_symbol
_atom_site_fract_x
_atom_site_fract_y
_atom_site_fract_z
_atom_site_occupancy
Ta1 Ta 0.000 0.000 0.000 1
Ti1 Ti 0.000 0.000 0.500 1
Re1 Re 0.250 0.250 0.250 1
Pd1 Pd 0.250 0.250 0.750 1
```

[12]
VASP calculation (GGA-PBE) on crystalline Zr3BS2 at its relaxed geometry.

## Properties
**Uncorrected energy**: -8.07 eV/atom
**Magnetic moment**: 0.00 μB per atom
**N(E_F)**: 0.28 states/eV/atom
**Uncorrected formation energy**: -1.307 eV per atom

```
data_Zr3BS2
_cell_length_a 6.279
_cell_length_b 10.859
_cell_length_c 6.418
_cell_angle_alpha 90.00
_cell_angle_beta 108.77
_cell_angle_gamma 90.00
_space_group_name_H-M_alt 'C 1 2/m 1'
_space_group_IT_number 12
_space_group_name_Hall '-C 2y'
loop_
_atom_site_label
_atom_site_type_symbol
_atom_site_fract_x
_atom_site_fract_y
_atom_site_fract_z
_atom_site_occupancy
Zr1 Zr 0.209 0.000 0.213 1
Zr2 Zr 0.248 0.180 0.784 1
B1 B 0.000 0.167 0.000 1
S1 S 0.000 0.000 0.500 1
S2 S 0.000 0.339 0.500 1
S3 S 0.000 0.500 0.000 1
```

Among the records above, which one has the lowest uncorrected energy?
TaTiRePd

magnetic moment of number 6 (PaPd6Pt2)?
0.00 μB per atom